# MgPd3Au | the Alexandria database | SCAN | PBEsol geometry
# crystal system: cubic
# formation enthalpy at 0 K: 0.56 eV/atom
# total moment: 0.00 μB per cell
data_MgPd3Au
_space_group_name_H-M_alt 'P m -3 m'
_space_group_IT_number 221
_space_group_name_Hall '-P 4 2 3'
_cell_length_a 4.492
_cell_length_b 4.492
_cell_length_c 4.492
_cell_angle_alpha 90.00
_cell_angle_beta 90.00
_cell_angle_gamma 90.00
loop_
_atom_site_label
_atom_site_type_symbol
_atom_site_fract_x
_atom_site_fract_y
_atom_site_fract_z
_atom_site_occupancy
Mg1 Mg 0.000 0.000 0.000 1
Pd1 Pd 0.000 0.000 0.500 1
Au1 Au 0.500 0.500 0.500 1